The following is a GGA+U calculation of an optimized crystal structure of TeW3O, from the Alexandria database.

Raw total energy: -13.51 eV per formula unit
Fermi-level density of states: 5.11 states/eV/f.u.
Energy above the lowest structure with this stoichiometry: 2267 meV per atom
Total magnetic moment: 4.43 μB per formula unit
Space group: Pm-3m, No. 221

Unit cell a=5.0238 b=5.0238 c=5.0238 alpha=90.00 beta=90.00 gamma=90.00
Fractional coordinates of all 5 atoms:
W 0.5000 0.0000 0.0000
W 0.0000 0.0000 0.5000
W 0.0000 0.5000 0.0000
Te 0.0000 0.0000 0.0000
O 0.5000 0.5000 0.5000